(1)
{
  "formula": "Al2PS",
  "functional": "PBE-GGA",
  "state": "optimized geometry",
  "lattice_angstrom": [[5.4127, 0.0000, 0.0000], [0.0000, 5.4127, 0.0000], [2.7064, 2.7064, 5.6098]],
  "species": ["P", "P", "S", "S", "Al", "Al", "Al", "Al"],
  "fractional_positions": [[0.5000, 0.5000, 0.0000], [0.2500, 0.7500, 0.5000], [0.0000, 0.0000, 0.0000], [0.7500, 0.2500, 0.5000], [0.6170, 0.1250, 0.2500], [0.1330, 0.6250, 0.2500], [0.3750, 0.3830, 0.7500], [0.8750, 0.8670, 0.7500]],
  "n_ef_per_ev_fu": 2.69,
  "formation_energy_uncorrected_ev_per_fu": -1.78
}

(2)
{
  "formula": "Pr3Ni2",
  "functional": "PBE-GGA",
  "state": "optimized geometry",
  "lattice_angstrom": [[-3.7072, 3.8481, 4.4931], [1.6245, -0.0299, 6.7897], [3.2448, 6.1430, 2.8399]],
  "species": ["Pr", "Pr", "Pr", "Pr", "Pr", "Pr", "Ni", "Ni", "Ni", "Ni"],
  "fractional_positions": [[0.1230, 0.7500, 0.7500], [0.7500, 0.3770, 0.7500], [0.3770, 0.1230, 0.7500], [0.2500, 0.6230, 0.2500], [0.6230, 0.8770, 0.2500], [0.8770, 0.2500, 0.2500], [0.8142, 0.8142, 0.5573], [0.3142, 0.3142, 0.0573], [0.1858, 0.1858, 0.4427], [0.6858, 0.6858, 0.9427]],
  "n_ef_per_ev_fu": 3.61,
  "formation_energy_ev_per_atom": -0.1737
}

(3)
{
  "formula": "SrTl2Ir",
  "functional": "PBE-GGA",
  "state": "optimized geometry",
  "lattice_angstrom": [[5.6483, 0.0048, 0.0000], [-2.3031, 5.1575, 0.0000], [0.0000, 0.0000, 3.4841]],
  "species": ["Ir", "Sr", "Tl", "Tl"],
  "fractional_positions": [[0.5000, 0.0000, 0.5000], [0.0000, 0.5000, 0.5000], [0.0000, 0.0000, 0.0000], [0.5000, 0.5000, 0.0000]],
  "n_ef_per_ev_fu": 2.54,
  "formation_energy_ev_per_atom": 0.3745
}

(4)
{
  "formula": "Ag2SbSe",
  "functional": "PBE-GGA",
  "state": "optimized geometry",
  "lattice_angstrom": [[3.7519, 0.0000, 0.0000], [0.0000, 5.3190, -0.2014], [0.0000, 1.7947, 4.5693]],
  "species": ["Ag", "Ag", "Sb", "Se"],
  "fractional_positions": [[0.0000, 0.9947, 0.9877], [0.0000, 0.5053, 0.5123], [0.5000, 0.2500, 0.2500], [0.5000, 0.7500, 0.7500]],
  "n_ef_per_ev_fu": 1.13,
  "formation_energy_uncorrected_ev_per_fu": 0.18
}

(5)
{
  "formula": "Li6GaAu6",
  "functional": "PBE-GGA",
  "state": "optimized geometry",
  "lattice_angstrom": [[-5.3476, -0.3010, 1.1931], [2.7905, -4.5461, -1.2872], [1.8376, -1.1239, 7.9531]],
  "species": ["Li", "Li", "Li", "Li", "Li", "Li", "Ga", "Au", "Au", "Au", "Au", "Au", "Au"],
  "fractional_positions": [[0.0000, 0.5000, 0.7507], [0.5000, 0.0000, 0.7507], [0.5000, 0.5000, 0.7507], [0.5000, 0.0000, 0.2493], [0.0000, 0.5000, 0.2493], [0.5000, 0.5000, 0.2493], [0.0000, 0.0000, 0.0000], [0.0000, 0.0000, 0.6720], [0.0000, 0.0000, 0.3280], [0.3335, 0.6665, 0.0000], [0.6665, 0.3335, 0.0000], [0.3334, 0.6666, 0.5000], [0.6666, 0.3334, 0.5000]],
  "n_ef_per_ev_fu": 4.96,
  "formation_energy_ev_per_atom": -0.3009
}

(6)
{
  "formula": "Zr2BeBr",
  "functional": "PBE-GGA",
  "state": "optimized geometry",
  "lattice_angstrom": [[1.7027, -1.9085, 3.9614], [-1.8024, 1.2381, 4.1776], [-2.6080, -3.0734, 2.4467]],
  "species": ["Be", "Br", "Zr", "Zr"],
  "fractional_positions": [[0.0000, 0.0000, 0.0000], [0.5000, 0.5000, 0.5000], [0.2500, 0.2500, 0.2500], [0.7500, 0.7500, 0.7500]],
  "n_ef_per_ev_fu": 7.16,
  "formation_energy_uncorrected_ev_per_fu": 0.58
}

(7)
{
  "formula": "BaAg3Sn",
  "functional": "PBE-GGA",
  "state": "optimized geometry",
  "lattice_angstrom": [[-4.5158, -1.7554, -2.2124], [-1.9325, -1.1222, 4.8348], [-2.0596, 4.9019, 0.3145]],
  "species": ["Ba", "Ag", "Ag", "Ag", "Sn"],
  "fractional_positions": [[0.5000, 0.5000, 0.5000], [0.0000, 0.5000, 0.0000], [0.0000, 0.0000, 0.5000], [0.5000, 0.0000, 0.0000], [0.0000, 0.0000, 0.0000]],
  "n_ef_per_ev_fu": 2.53,
  "formation_energy_ev_per_atom": -0.0642
}

(8)
{
  "formula": "Ac3Te3Se",
  "functional": "PBE-GGA",
  "state": "optimized geometry",
  "lattice_angstrom": [[6.6742, 0.0000, 0.0000], [0.0000, 13.0341, 0.0000], [0.0000, 0.0000, 13.0340]],
  "species": ["Ac", "Ac", "Ac", "Ac", "Ac", "Ac", "Ac", "Ac", "Ac", "Ac", "Ac", "Ac", "Te", "Te", "Te", "Te", "Te", "Te", "Te", "Te", "Te", "Te", "Te", "Te", "Se", "Se", "Se", "Se"],
  "fractional_positions": [[0.0000, 0.1159, 0.8842], [0.0000, 0.1243, 0.3631], [0.5000, 0.1370, 0.6243], [0.0000, 0.3630, 0.1243], [0.5000, 0.3757, 0.8631], [0.5000, 0.3841, 0.3842], [0.5000, 0.6159, 0.6158], [0.5000, 0.6243, 0.1369], [0.0000, 0.6370, 0.8757], [0.5000, 0.8630, 0.3757], [0.0000, 0.8757, 0.6369], [0.0000, 0.8841, 0.1158], [0.0000, 0.1338, 0.6243], [0.5000, 0.1242, 0.3663], [0.5000, 0.1228, 0.8772], [0.0000, 0.3772, 0.3772], [0.0000, 0.3758, 0.8663], [0.5000, 0.3662, 0.1243], [0.5000, 0.6338, 0.8757], [0.0000, 0.6242, 0.1337], [0.0000, 0.6228, 0.6228], [0.5000, 0.8772, 0.1228], [0.5000, 0.8758, 0.6337], [0.0000, 0.8662, 0.3757], [0.0000, 0.1233, 0.1234], [0.5000, 0.3767, 0.6234], [0.5000, 0.6233, 0.3766], [0.0000, 0.8767, 0.8766]],
  "n_ef_per_ev_fu": 3.17,
  "formation_energy_uncorrected_ev_per_fu": -11.26
}

(9)
{
  "formula": "TiV2Te5",
  "functional": "PBE-GGA",
  "state": "optimized geometry",
  "lattice_angstrom": [[-3.5924, -4.1369, -0.1652], [3.2471, 1.0711, -6.4950], [9.1616, -8.0854, 3.2468]],
  "species": ["Ti", "Ti", "V", "V", "V", "V", "Te", "Te", "Te", "Te", "Te", "Te", "Te", "Te", "Te", "Te"],
  "fractional_positions": [[0.8044, 0.6089, 0.7500], [0.1956, 0.3911, 0.2500], [0.8481, 0.6962, 0.4471], [0.8481, 0.6962, 0.0529], [0.1519, 0.3038, 0.5529], [0.1519, 0.3038, 0.9471], [0.9632, 0.9264, 0.8788], [0.9632, 0.9264, 0.6212], [0.3195, 0.6391, 0.4320], [0.3195, 0.6391, 0.0680], [0.7532, 0.5063, 0.2500], [0.2468, 0.4937, 0.7500], [0.6805, 0.3609, 0.5680], [0.6805, 0.3609, 0.9320], [0.0368, 0.0736, 0.1212], [0.0368, 0.0736, 0.3788]],
  "n_ef_per_ev_fu": 5.93,
  "formation_energy_uncorrected_ev_per_fu": -2.42
}

(10)
{
  "formula": "InHgBr2",
  "functional": "PBE-GGA",
  "state": "optimized geometry",
  "lattice_angstrom": [[4.1555, 0.0003, -0.0296], [0.0005, 5.8385, -0.0003], [-0.9171, -2.9188, 5.2710]],
  "species": ["Hg", "Br", "Br", "In"],
  "fractional_positions": [[0.1560, 0.0347, 0.8438], [0.3414, 0.4241, 0.6229], [0.7855, 0.7733, 0.3214], [0.7455, 0.2320, 0.2387]],
  "n_ef_per_ev_fu": 1.12,
  "formation_energy_uncorrected_ev_per_fu": -1.96
}

(11)
{
  "formula": "Y7Tl2Sn2",
  "functional": "PBE-GGA",
  "state": "optimized geometry",
  "lattice_angstrom": [[6.8673, -0.0033, -0.9105], [0.0037, 7.6455, 0.0031], [-1.3365, -0.0018, 6.7972]],
  "species": ["Y", "Y", "Y", "Y", "Y", "Y", "Y", "Tl", "Tl", "Sn", "Sn"],
  "fractional_positions": [[0.0000, 0.2897, 0.5000], [0.5000, 0.7103, 0.0000], [0.0000, 0.7103, 0.5000], [0.5000, 0.2897, 0.0000], [0.0000, 0.0000, 0.0000], [0.5000, 0.7397, 0.5000], [0.5000, 0.2603, 0.5000], [0.7106, 0.0000, 0.2894], [0.2894, 0.0000, 0.7106], [0.8203, 0.5000, 0.8203], [0.1797, 0.5000, 0.1797]],
  "n_ef_per_ev_fu": 9.55,
  "formation_energy_ev_per_atom": -0.1652
}

(12)
{
  "formula": "PaAl7Zn12",
  "functional": "PBE-GGA",
  "state": "optimized geometry",
  "lattice_angstrom": [[-1.6396, -6.0567, -1.1973], [7.8364, 0.5184, -1.9935], [-1.3774, 1.0540, 7.9148]],
  "species": ["Pa", "Al", "Al", "Al", "Al", "Al", "Al", "Al", "Zn", "Zn", "Zn", "Zn", "Zn", "Zn", "Zn", "Zn", "Zn", "Zn", "Zn", "Zn"],
  "fractional_positions": [[0.0000, 0.0000, 0.0000], [0.1915, 0.6614, 0.0000], [0.8085, 0.0000, 0.3386], [0.4699, 0.6614, 0.6614], [0.5000, 0.0000, 0.0000], [0.5301, 0.3386, 0.3386], [0.1915, 0.0000, 0.6614], [0.8085, 0.3386, 0.0000], [0.2634, 0.5268, 0.2634], [0.0000, 0.2634, 0.7366], [0.6030, 0.6613, 0.0000], [0.3970, 0.0000, 0.3387], [0.2634, 0.2634, 0.5268], [0.0583, 0.6613, 0.6613], [0.9417, 0.3387, 0.3387], [0.7366, 0.7366, 0.4732], [0.6030, 0.0000, 0.6613], [0.3970, 0.3387, 0.0000], [0.0000, 0.7366, 0.2634], [0.7366, 0.4732, 0.7366]],
  "n_ef_per_ev_fu": 9.83,
  "formation_energy_ev_per_atom": 0.0315
}

Copy entry 9 word for word.
{
  "formula": "TiV2Te5",
  "functional": "PBE-GGA",
  "state": "optimized geometry",
  "lattice_angstrom": [[-3.5924, -4.1369, -0.1652], [3.2471, 1.0711, -6.4950], [9.1616, -8.0854, 3.2468]],
  "species": ["Ti", "Ti", "V", "V", "V", "V", "Te", "Te", "Te", "Te", "Te", "Te", "Te", "Te", "Te", "Te"],
  "fractional_positions": [[0.8044, 0.6089, 0.7500], [0.1956, 0.3911, 0.2500], [0.8481, 0.6962, 0.4471], [0.8481, 0.6962, 0.0529], [0.1519, 0.3038, 0.5529], [0.1519, 0.3038, 0.9471], [0.9632, 0.9264, 0.8788], [0.9632, 0.9264, 0.6212], [0.3195, 0.6391, 0.4320], [0.3195, 0.6391, 0.0680], [0.7532, 0.5063, 0.2500], [0.2468, 0.4937, 0.7500], [0.6805, 0.3609, 0.5680], [0.6805, 0.3609, 0.9320], [0.0368, 0.0736, 0.1212], [0.0368, 0.0736, 0.3788]],
  "n_ef_per_ev_fu": 5.93,
  "formation_energy_uncorrected_ev_per_fu": -2.42
}